# 1
PBE-GGA BaLi2ScCl8, optimized geometry; SG = P-3, No. 147; ΔE_f (raw) = -1807 meV per atom; ρ = 2.57 g/cm³
1.0
6.500 0.000 0.000
-3.250 5.629 0.000
0.000 0.000 8.476
Ba Li Sc Cl
1 2 1 8
direct
0.000 0.000 0.000
0.333 0.667 0.709
0.667 0.333 0.291
0.000 0.000 0.500
0.017 0.705 0.321
0.295 0.312 0.321
0.312 0.017 0.679
0.333 0.667 0.990
0.667 0.333 0.010
0.688 0.983 0.321
0.705 0.688 0.679
0.983 0.295 0.679

***

# 2
PBE-GGA KAsRu2, optimized geometry; DFT total energy = -20.071 eV/cell; SG = P4/mmm, No. 123; ρ = 7.91 g/cm³
1.0
4.478 0.000 0.000
0.000 4.478 0.000
0.000 0.000 3.313
K As Ru
1 1 2
direct
0.000 0.000 0.000
0.500 0.500 0.000
0.000 0.500 0.500
0.500 0.000 0.500

***

# 3
PBE-GGA BeIrAuCl2, optimized geometry; SG = P4/mmm, No. 123; ΔE_f (raw) = 561 meV per atom; ρ = 8.33 g/cm³
1.0
4.087 0.000 0.000
0.000 4.087 0.000
0.000 0.000 5.598
Be Ir Au Cl
1 1 1 2
direct
0.000 0.000 0.000
0.000 0.000 0.500
0.500 0.500 0.500
0.000 0.500 0.000
0.500 0.000 0.000

***

# 4
PBE-GGA CeGa3Cu, optimized geometry; offset from the most stable computed form = 471 meV/atom; SG = I4mm, No. 107; ρ = 6.66 g/cm³
1.0
3.651 0.000 0.000
0.000 3.651 0.000
0.000 0.000 15.451
Ce Ga Cu
2 6 2
direct
0.000 0.000 0.000
0.500 0.500 0.500
0.000 0.000 0.809
0.000 0.500 0.167
0.000 0.500 0.667
0.500 0.000 0.167
0.500 0.000 0.667
0.500 0.500 0.309
0.000 0.000 0.382
0.500 0.500 0.882